(1)
# RbGeSe2

An optimized crystal structure of RbGeSe2 (GGA-PBE, Alexandria).

Summary:
- Energy: -3.3953 eV/atom

a b c (Å): 9.6509 9.6509 9.6509
angles (deg): 23.49 23.49 23.49
With the nearest neighbours (Å) after each atom.
Atoms (fractional coordinates):
Ge1 0.5000 0.5000 0.5000  6 Se 2.71
Se1 0.8857 0.8857 0.8857  3 Ge 2.71
Se2 0.1143 0.1143 0.1143  3 Ge 2.71
Rb1 0.0000 0.0000 0.0000  2 Se 3.22

***

(2)
# RbGe3Se3

An optimized crystal structure of RbGe3Se3 (GGA-PBE, Alexandria).

Summary:
- Energy: -3.8700 eV/atom

a b c (Å): 8.7675 8.7675 8.2711
angles (deg): 57.99 57.99 60.00
With the nearest neighbours (Å) after each atom.
Atoms (fractional coordinates):
Rb1 0.3299 0.3299 0.0102  6 Ge 3.61-3.83, 6 Se 3.64-3.87
Rb2 0.6701 0.6701 0.9898  6 Ge 3.61-3.83, 6 Se 3.64-3.87
Ge1 0.4242 0.7754 0.6578  3 Se 2.52-2.73
Ge2 0.7754 0.1426 0.6578  3 Se 2.52-2.73
Ge3 0.1426 0.4242 0.6578  3 Se 2.52-2.73
Ge4 0.8574 0.5758 0.3422  3 Se 2.52-2.73
Ge5 0.2246 0.8574 0.3422  3 Se 2.52-2.73
Ge6 0.5758 0.2246 0.3422  3 Se 2.52-2.73
Se1 0.1657 0.6238 0.2927  3 Ge 2.52-2.73
Se2 0.9178 0.1657 0.2927  3 Ge 2.52-2.73
Se3 0.6238 0.9178 0.2927  3 Ge 2.52-2.73
Se4 0.3762 0.0822 0.7073  3 Ge 2.52-2.73
Se5 0.0822 0.8343 0.7073  3 Ge 2.52-2.73
Se6 0.8343 0.3762 0.7073  3 Ge 2.52-2.73

***

(3)
# RbGe2Se

An optimized crystal structure of RbGe2Se (GGA-PBE, Alexandria).

Summary:
- Energy: -3.5550 eV/atom

a b c (Å): 5.0090 5.0090 10.7073
angles (deg): 76.47 76.47 90.00
With the nearest neighbours (Å) after each atom.
Atoms (fractional coordinates):
Ge1 0.4314 0.1250 0.2500  2 Ge 2.57, 2 Se 2.83
Ge2 0.3186 0.6250 0.2500  2 Ge 2.57, 2 Se 2.83
Ge3 0.3750 0.5686 0.7500  2 Ge 2.57, 2 Se 2.83
Ge4 0.8750 0.6814 0.7500  2 Ge 2.57, 2 Se 2.83
Se1 0.5000 0.5000 0.0000  4 Ge 2.83
Se2 0.2500 0.7500 0.5000  4 Ge 2.83
Rb1 0.0000 0.0000 0.0000  4 Se 3.54, 8 Ge 3.59-3.96
Rb2 0.7500 0.2500 0.5000  4 Se 3.54, 8 Ge 3.59-3.96

***

(4)
# RbGeSe2

An optimized crystal structure of RbGeSe2 (GGA-PBE, Alexandria).

Summary:
- Energy: -3.8104 eV/atom

a b c (Å): 4.6389 7.3260 8.8869
angles (deg): 114.29 105.14 89.99
With the nearest neighbours (Å) after each atom.
Atoms (fractional coordinates):
Rb1 0.6906 0.6401 0.9557  8 Se 3.65-3.71, 1 Ge 3.93
Rb2 0.9704 0.9193 0.5152  8 Se 3.65-3.71, 1 Ge 3.93
Ge1 0.2231 0.1730 0.0218  4 Se 2.49-2.56
Ge2 0.4377 0.3865 0.4490  4 Se 2.49-2.56
Se1 0.3306 0.0259 0.2357  2 Ge 2.49
Se2 0.0078 0.4566 0.5895  2 Ge 2.56
Se3 0.6531 0.1030 0.8815  2 Ge 2.56
Se4 0.3304 0.5337 0.2353  2 Ge 2.49

***

(5)
# Rb3GeSe

An optimized crystal structure of Rb3GeSe (GGA-PBE, Alexandria).

Summary:
- Energy: -2.7406 eV/atom

a b c (Å): 4.4433 9.1990 10.8368
angles (deg): 96.82 89.98 103.97
With the nearest neighbours (Å) after each atom.
Atoms (fractional coordinates):
Rb1 0.0746 0.1800 0.3516  1 Rb 3.37, 4 Se 3.50-3.61
Rb2 0.4273 0.8903 0.5933  1 Se 3.26, 2 Ge 3.54-3.55
Rb3 0.6139 0.2636 0.8279  1 Se 3.26, 2 Ge 3.54
Rb4 0.9713 0.9735 0.0694  1 Rb 3.37, 4 Se 3.50-3.61
Rb5 0.2612 0.5534 0.0570  3 Se 3.38-3.49
Rb6 0.7845 0.6002 0.3644  3 Se 3.38-3.49
Ge1 0.2339 0.5044 0.6905  2 Ge 2.59
Ge2 0.8070 0.6513 0.7326  2 Ge 2.59
Se1 0.4148 0.8604 0.2901  8 Rb 3.26-3.61
Se2 0.6314 0.2932 0.1312  8 Rb 3.26-3.61

***

(6)
# Rb3GeSe3

An optimized crystal structure of Rb3GeSe3 (GGA-PBE, Alexandria).

Summary:
- Energy: -3.4500 eV/atom

a b c (Å): 7.3906 10.9169 13.8499
angles (deg): 90.00 90.00 109.79
With the nearest neighbours (Å) after each atom.
Atoms (fractional coordinates):
Rb1 0.6595 0.0000 0.8406  5 Se 3.41-3.60, 2 Ge 3.75
Rb2 0.8405 0.0000 0.3406  5 Se 3.41-3.60, 2 Ge 3.75
Rb3 0.1595 0.0000 0.6594  5 Se 3.41-3.60, 2 Ge 3.75
Rb4 0.3405 0.0000 0.1594  5 Se 3.41-3.60, 2 Ge 3.75
Rb5 0.9849 0.6483 0.3706  6 Se 3.52-3.77, 1 Ge 3.63
Rb6 0.5151 0.3517 0.8706  6 Se 3.52-3.77, 1 Ge 3.63
Rb7 0.8366 0.3517 0.1294  6 Se 3.52-3.77, 1 Ge 3.63
Rb8 0.6634 0.6483 0.6294  6 Se 3.52-3.77, 1 Ge 3.63
Rb9 0.0151 0.3517 0.6294  6 Se 3.52-3.77, 1 Ge 3.63
Rb10 0.4849 0.6483 0.1294  6 Se 3.52-3.77, 1 Ge 3.63
Rb11 0.1634 0.6483 0.8706  6 Se 3.52-3.77, 1 Ge 3.63
Rb12 0.3366 0.3517 0.3706  6 Se 3.52-3.77, 1 Ge 3.63
Ge1 0.4177 0.8355 0.5000  4 Se 2.48-2.65
Ge2 0.0823 0.1645 0.0000  4 Se 2.48-2.65
Ge3 0.5823 0.1645 0.5000  4 Se 2.48-2.65
Ge4 0.9177 0.8355 0.0000  4 Se 2.48-2.65
Se1 0.2155 0.0000 0.9082  2 Ge 2.65
Se2 0.2845 0.0000 0.4082  2 Ge 2.65
Se3 0.7155 0.0000 0.5918  2 Ge 2.65
Se4 0.7845 0.0000 0.0918  2 Ge 2.65
Se5 0.5131 0.6937 0.3858  1 Ge 2.48
Se6 0.9869 0.3063 0.8858  1 Ge 2.48
Se7 0.3194 0.3063 0.1142  1 Ge 2.48
Se8 0.1806 0.6937 0.6142  1 Ge 2.48
Se9 0.4869 0.3063 0.6142  1 Ge 2.48
Se10 0.0131 0.6937 0.1142  1 Ge 2.48
Se11 0.6806 0.6937 0.8858  1 Ge 2.48
Se12 0.8194 0.3063 0.3858  1 Ge 2.48

***

(7)
# Rb3Ge2Se5

An optimized crystal structure of Rb3Ge2Se5 (GGA-PBE, Alexandria).

Summary:
- Energy: -3.4067 eV/atom

a b c (Å): 7.6801 11.9347 11.9347
angles (deg): 46.42 71.23 71.23
With the nearest neighbours (Å) after each atom.
Atoms (fractional coordinates):
Rb1 0.2500 0.0000 0.0000  4 Se 3.44, 4 Ge 3.68, 2 Rb 3.84
Rb2 0.7500 0.0000 0.0000  4 Se 3.44, 4 Ge 3.68, 2 Rb 3.84
Rb3 0.3551 0.5125 0.7773  3 Se 3.33-3.56
Rb4 0.6449 0.4875 0.2227  3 Se 3.33-3.56
Rb5 0.8551 0.7773 0.5125  3 Se 3.33-3.56
Rb6 0.1449 0.2227 0.4875  3 Se 3.33-3.56
Ge1 0.1502 0.7918 0.9078  2 Se 2.49
Ge2 0.8498 0.2082 0.0922  2 Se 2.49
Ge3 0.6502 0.9078 0.7918  2 Se 2.49
Ge4 0.3498 0.0922 0.2082  2 Se 2.49
Se1 0.2500 0.5000 0.5000  4 Se 2.69
Se2 0.7500 0.5000 0.5000  4 Se 2.69
Se3 0.4724 0.7776 0.7776  2 Ge 2.49
Se4 0.0276 0.2224 0.2224  2 Ge 2.49
Se5 0.5276 0.2224 0.2224  2 Ge 2.49
Se6 0.9724 0.7776 0.7776  2 Ge 2.49
Se7 0.0142 0.6840 0.2877  2 Se 2.69
Se8 0.9858 0.3160 0.7123  2 Se 2.69
Se9 0.5142 0.2877 0.6840  2 Se 2.69
Se10 0.4858 0.7123 0.3160  2 Se 2.69

***

(8)
# Rb5GeSe4

An optimized crystal structure of Rb5GeSe4 (GGA-PBE, Alexandria).

Summary:
- Energy: -3.2310 eV/atom

a b c (Å): 8.1516 10.5910 10.0596
angles (deg): 90.00 90.00 90.00
With the nearest neighbours (Å) after each atom.
Atoms (fractional coordinates):
Rb1 0.7371 0.1943 0.2410  4 Se 3.38-3.52
Rb2 0.7371 0.1943 0.7590  4 Se 3.38-3.52
Rb3 0.1508 0.0000 0.5000  4 Se 3.47-3.50
Rb4 0.7371 0.8057 0.2410  4 Se 3.38-3.52
Rb5 0.7371 0.8057 0.7590  4 Se 3.38-3.52
Rb6 0.2629 0.6943 0.2590  4 Se 3.38-3.52
Rb7 0.2629 0.6943 0.7410  4 Se 3.38-3.52
Rb8 0.8492 0.5000 0.0000  4 Se 3.47-3.50
Rb9 0.2629 0.3057 0.7410  4 Se 3.38-3.52
Rb10 0.2629 0.3057 0.2590  4 Se 3.38-3.52
Ge1 0.2142 0.0000 0.0000  4 Se 2.58-2.59
Ge2 0.7858 0.5000 0.5000  4 Se 2.58-2.59
Se1 0.0359 0.2020 0.0000  1 Ge 2.59
Se2 0.3887 0.0000 0.2138  1 Ge 2.58
Se3 0.3887 0.0000 0.7862  1 Ge 2.58
Se4 0.0359 0.7980 0.0000  1 Ge 2.59
Se5 0.9641 0.7020 0.5000  1 Ge 2.59
Se6 0.6113 0.5000 0.2862  1 Ge 2.58
Se7 0.6113 0.5000 0.7138  1 Ge 2.58
Se8 0.9641 0.2980 0.5000  1 Ge 2.59

***

(9)
# RbGeSe

An optimized crystal structure of RbGeSe (GGA-PBE, Alexandria).

Summary:
- Energy: -3.4808 eV/atom

a b c (Å): 3.9412 6.0685 9.9360
angles (deg): 72.21 81.03 90.00
With the nearest neighbours (Å) after each atom.
Atoms (fractional coordinates):
Rb1 0.9990 0.3234 0.1627  6 Se 3.45-3.75
Rb2 0.6004 0.0573 0.6954  2 Se 3.40, 4 Ge 3.55-3.71
Ge1 0.1465 0.5685 0.6721  2 Se 2.51-2.74, 1 Ge 2.53
Ge2 0.9024 0.6843 0.4406  2 Se 2.53-2.69, 1 Ge 2.53
Se1 0.6134 0.4762 0.8576  2 Ge 2.51-2.74
Se2 0.4484 0.7759 0.2576  2 Ge 2.53-2.69

***

Which formula does entry 3 have? RbGe2Se

***

Which of these has the lowest energy? RbGe3Se3

***

Among the records above, which one has the lowest energy? RbGe3Se3

***

Which formula does entry 4 have? RbGeSe2